Entry 1:
Computed, not measured: an optimized crystal structure of LaSnAs at the PBE level of DFT.

Unit cell a=11.698 b=11.698 c=11.698 alpha=159.14 beta=159.14 gamma=29.66
Atoms (fractional coordinates):
1 La 0.174 0.174 0.000
2 La 0.826 0.826 0.000
3 Sn 0.428 0.428 0.000
4 Sn 0.572 0.572 0.000
5 As 0.308 0.308 0.000
6 As 0.692 0.692 0.000

Calculated values
- Symmetry: I4/mmm, No. 139
- Calculated total energy: -15.84 eV per formula unit
- ΔH_f (0 K): -752 meV per atom

=====

Entry 2:
Computed, not measured: an optimized crystal structure of TcP2Ru at the PBE level of DFT.

Unit cell a=7.411 b=7.411 c=7.411 alpha=22.79 beta=22.79 gamma=22.79
Atoms (fractional coordinates):
1 Tc 0.000 0.000 0.000
2 P 0.250 0.250 0.250
3 P 0.750 0.750 0.750
4 Ru 0.500 0.500 0.500

Calculated values
- Symmetry: R-3m, No. 166
- Calculated total energy: -31.44 eV per formula unit
- ΔH_f (0 K): -244 meV per atom

=====

Entry 3:
Computed, not measured: an optimized crystal structure of HgPdAu at the PBE level of DFT.

Unit cell a=4.618 b=4.618 c=2.960 alpha=90.00 beta=90.00 gamma=120.00
Atoms (fractional coordinates):
1 Hg 0.000 0.000 0.000
2 Pd 0.667 0.333 0.666
3 Au 0.333 0.667 0.329

Calculated values
- Symmetry: P3m1, No. 156
- Calculated total energy: -8.87 eV per formula unit
- ΔH_f (0 K): -31 meV per atom

=====

Entry 4:
Computed, not measured: an optimized crystal structure of TaGaCoPd2 at the PBE level of DFT.

Unit cell a=4.639 b=4.639 c=4.345 alpha=90.00 beta=90.00 gamma=90.00
Atoms (fractional coordinates):
1 Ta 0.000 0.000 0.000
2 Ga 0.500 0.500 0.000
3 Co 0.000 0.000 0.500
4 Pd 0.000 0.500 0.500
5 Pd 0.500 0.000 0.500

Calculated values
- Symmetry: P4/mmm, No. 123
- Calculated total energy: -28.78 eV per formula unit
- ΔH_f (0 K): 717 meV per atom

=====

For reference, V by record: 33.80; 13.40; 18.23; 18.70 Å³ per atom.